Computed, not measured: a geometry-optimized CaPuCl6 structure at the PBE level of DFT.

Cell: 6.7702 6.7703 7.3208 Å, 62.47 62.47 60.01°
Closest atoms and distances in Å follow each position.
Fractional positions:
Pu (0.0000, 0.0000, 0.0000)  6 Cl 2.61
Cl (0.9090, 0.6095, 0.2441)  1 Pu 2.61, 1 Ca 2.77
Cl (0.3905, 0.7628, 0.7558)  1 Pu 2.61, 1 Ca 2.77
Cl (0.0910, 0.3905, 0.7559)  1 Pu 2.61, 1 Ca 2.77
Cl (0.2373, 0.9089, 0.2442)  1 Pu 2.61, 1 Ca 2.77
Cl (0.6095, 0.2372, 0.2442)  1 Pu 2.61, 1 Ca 2.77
Cl (0.7627, 0.0911, 0.7558)  1 Pu 2.61, 1 Ca 2.77
Ca (0.5000, 0.5000, 0.5000)  6 Cl 2.77

Output
space group	R-3, No. 148
E	-0.1965	Ha/atom